[1]
BaZnRu after structural relaxation, computed with PBE.

The value obtained for the density of states at the Fermi level is 0.079 states/eV per cell. The value obtained for the formation energy is 0.55 eV per atom. Its space group is F-43m, No. 216. The total DFT energy (no corrections) is -3.6034 eV per atom.

Cell lengths 4.758, 4.758, 4.758 Å; angles 60.00, 60.00, 60.00 degrees
Fractional positions:
Ba1 0.500 0.500 0.500
Ru1 0.250 0.250 0.250
Zn1 0.000 0.000 0.000

[2]
YHo3Ni after structural relaxation, computed with PBE.

The value obtained for the density of states at the Fermi level is 12.513 states/eV per cell. The value obtained for the formation energy is -0.08 eV per atom. The energy above the most stable polymorph in this dataset comes out at 0.0000 eV per atom. Its space group is P6_3/mmc, No. 194. The total DFT energy (no corrections) is -5.2788 eV per atom.

Cell lengths 5.836, 7.445, 7.445 Å; angles 120.00, 90.00, 90.00 degrees
Fractional positions:
Y1 0.750 0.667 0.333
Y2 0.250 0.333 0.667
Ho1 0.750 0.646 0.823
Ho2 0.250 0.823 0.646
Ho3 0.250 0.354 0.177
Ho4 0.750 0.177 0.354
Ho5 0.250 0.823 0.177
Ho6 0.750 0.177 0.823
Ni1 0.000 0.000 0.000
Ni2 0.500 0.000 0.000

Record-wise calculated density values, in kg/m³: 6624; 7616